Entry 1:
Entry from the Alexandria database: a relaxed ThSc3Cd2 crystal (PBE).

## Properties
* energy relative to the elements: -0.2013 eV/atom
* space group: P4/mmm (123)

Cell lengths 3.504, 3.504, 11.760 Å; angles 90.00, 90.00, 90.00 degrees
Element x y z (fractional)
Th  0.500  0.500  0.500
Sc  0.000  0.000  0.000
Sc  0.000  0.000  0.692
Sc  0.000  0.000  0.308
Cd  0.500  0.500  0.847
Cd  0.500  0.500  0.153


Entry 2:
Entry from the Alexandria database: a relaxed LiNiPt crystal (PBE).

## Properties
* energy relative to the elements: -0.2068 eV/atom
* space group: P3m1 (156)

Cell lengths 4.100, 4.100, 2.640 Å; angles 90.00, 90.00, 120.00 degrees
Last column: magnetic moment on the atom in μB.
Element x y z (fractional)
Li  0.000  0.000  0.097  -0.01
Ni  0.667  0.333  0.222  0.72
Pt  0.333  0.667  0.681  0.28


Entry 3:
Entry from the Alexandria database: a relaxed Tc2I2F crystal (PBE).

## Properties
* E_form (uncorrected): 38 kJ/mol of atoms
* space group: P4/mbm (127)

Cell lengths 6.941, 6.941, 4.326 Å; angles 90.00, 90.00, 90.00 degrees
Element x y z (fractional)
I  0.180  0.680  0.500
I  0.680  0.820  0.500
I  0.820  0.320  0.500
I  0.320  0.180  0.500
Tc  0.389  0.889  0.000
Tc  0.889  0.611  0.000
Tc  0.611  0.111  0.000
Tc  0.111  0.389  0.000
F  0.000  0.000  0.000
F  0.500  0.500  0.000


Entry 4:
Entry from the Alexandria database: a relaxed Tb12CoHg6 crystal (PBE).

## Properties
* energy relative to the elements: -0.2326 eV/atom
* space group: R-3 (148)

Cell lengths 8.214, 8.214, 8.214 Å; angles 94.15, 94.15, 94.15 degrees
Element x y z (fractional)
Tb  0.798  0.577  0.458
Tb  0.458  0.798  0.577
Tb  0.577  0.458  0.798
Tb  0.202  0.423  0.542
Tb  0.542  0.202  0.423
Tb  0.423  0.542  0.202
Tb  0.967  0.085  0.307
Tb  0.915  0.693  0.033
Tb  0.693  0.033  0.915
Tb  0.033  0.915  0.693
Tb  0.085  0.307  0.967
Tb  0.307  0.967  0.085
Co  0.000  0.000  0.000
Hg  0.644  0.859  0.261
Hg  0.739  0.356  0.141
Hg  0.141  0.739  0.356
Hg  0.356  0.141  0.739
Hg  0.261  0.644  0.859
Hg  0.859  0.261  0.644


Entry 5:
Entry from the Alexandria database: a relaxed RbYMgF6 crystal (PBE).

## Properties
* E_form (uncorrected): -346 kJ/mol of atoms
* space group: Imma (74)

Cell lengths 7.746, 7.320, 7.416 Å; angles 119.57, 121.48, 90.00 degrees
Element x y z (fractional)
Rb  0.839  0.589  0.678
Rb  0.161  0.411  0.322
Y  0.500  0.000  0.500
Y  0.000  0.000  0.500
Mg  0.500  0.500  0.000
Mg  0.500  0.000  0.000
F  0.563  0.813  0.126
F  0.854  0.104  0.709
F  0.824  0.142  0.270
F  0.445  0.627  0.270
F  0.445  0.142  0.270
F  0.824  0.627  0.270
F  0.437  0.187  0.874
F  0.146  0.896  0.291
F  0.176  0.858  0.730
F  0.555  0.373  0.730
F  0.555  0.858  0.730
F  0.176  0.373  0.730


Entry 6:
Entry from the Alexandria database: a relaxed Y3Er4Rh4 crystal (PBE).

## Properties
* energy relative to the elements: -0.6636 eV/atom
* space group: Immm (71)

Cell lengths 3.755, 8.813, 9.210 Å; angles 118.59, 101.76, 90.00 degrees
Element x y z (fractional)
Y  0.104  0.104  0.207
Y  0.896  0.896  0.793
Y  0.000  0.500  0.000
Er  0.335  0.146  0.669
Er  0.665  0.477  0.331
Er  0.665  0.854  0.331
Er  0.335  0.523  0.669
Rh  0.246  0.746  0.492
Rh  0.754  0.254  0.508
Rh  0.500  0.789  0.000
Rh  0.500  0.211  0.000


Entry 7:
Entry from the Alexandria database: a relaxed AlHg2Bi2 crystal (PBE).

## Properties
* energy relative to the elements: 0.3138 eV/atom
* space group: P4/mbm (127)

Cell lengths 8.963, 8.963, 3.548 Å; angles 90.00, 90.00, 90.00 degrees
Element x y z (fractional)
Al  0.000  0.000  0.000
Al  0.500  0.500  0.000
Bi  0.180  0.680  0.500
Bi  0.680  0.820  0.500
Bi  0.820  0.320  0.500
Bi  0.320  0.180  0.500
Hg  0.378  0.878  0.000
Hg  0.878  0.622  0.000
Hg  0.622  0.122  0.000
Hg  0.122  0.378  0.000


Entry 8:
Entry from the Alexandria database: a relaxed PmUPa crystal (PBE).

## Properties
* energy relative to the elements: 0.3724 eV/atom
* space group: C2/m (12)

Cell lengths 3.072, 5.503, 10.812 Å; angles 64.51, 90.00, 106.21 degrees
Element x y z (fractional)
U  0.095  0.191  0.073
U  0.905  0.809  0.927
Pm  0.417  0.834  0.393
Pm  0.583  0.166  0.607
Pa  0.231  0.461  0.792
Pa  0.769  0.539  0.208


Calculated density, respectively: 6.81, 11.27, 7.47, 9.58, 3.55, 8.59, 9.86, 13.00 g/cm3.
VASP energy, respectively: -4.909, -4.785, -4.747, -3.626, -5.841, -6.759, -2.108, -8.139 eV/atom.
Total magnetization, respectively: 0.000, 0.975, 0.000, 0.000, 0.000, 0.000, 0.000, 0.000 μB/f.u..